*P*
# ZnCr2In2 | Alexandria | GGA-PBE | relaxed
data_ZnCr2In2
_symmetry_space_group_name_H-M 'P 4/m b m'
_symmetry_Int_Tables_number 127
_symmetry_space_group_name_Hall '-P 4 2ab'
_cell_length_a 6.426
_cell_length_b 6.426
_cell_length_c 4.181
_cell_angle_alpha 90.00
_cell_angle_beta 90.00
_cell_angle_gamma 90.00
loop_
_atom_site_label
_atom_site_type_symbol
_atom_site_fract_x
_atom_site_fract_y
_atom_site_fract_z
_atom_site_occupancy
Zn1 Zn 0.000 0.000 0.000 1
Cr1 Cr 0.115 0.385 0.000 1
In1 In 0.179 0.679 0.500 1
# * magnetic moment: 1.71 μB per formula unit

***

*Q*
# ZnCr2In2 | Alexandria | GGA-PBE | relaxed
data_ZnCr2In2
_symmetry_space_group_name_H-M 'I 4/m m m'
_symmetry_Int_Tables_number 139
_symmetry_space_group_name_Hall '-I 4 2'
_cell_length_a 4.131
_cell_length_b 4.131
_cell_length_c 11.345
_cell_angle_alpha 90.00
_cell_angle_beta 90.00
_cell_angle_gamma 90.00
loop_
_atom_site_label
_atom_site_type_symbol
_atom_site_fract_x
_atom_site_fract_y
_atom_site_fract_z
_atom_site_occupancy
Zn1 Zn 0.000 0.000 0.000 1
Cr1 Cr 0.000 0.000 0.421 1
In1 In 0.000 0.500 0.250 1
# * magnetic moment: 0.00 μB per formula unit

***

Most stable structure: *P*

***

*P*
# ZnCrIn3 | Alexandria | GGA-PBE | relaxed
data_ZnCrIn3
_symmetry_space_group_name_H-M 'P m -3 m'
_symmetry_Int_Tables_number 221
_symmetry_space_group_name_Hall '-P 4 2 3'
_cell_length_a 5.179
_cell_length_b 5.179
_cell_length_c 5.179
_cell_angle_alpha 90.00
_cell_angle_beta 90.00
_cell_angle_gamma 90.00
loop_
_atom_site_label
_atom_site_type_symbol
_atom_site_fract_x
_atom_site_fract_y
_atom_site_fract_z
_atom_site_occupancy
Zn1 Zn 0.000 0.000 0.000 1
Cr1 Cr 0.500 0.500 0.500 1
In1 In 0.000 0.000 0.500 1
# * magnetic moment: 4.74 μB per formula unit

***

*Q*
# ZnCrIn3 | Alexandria | GGA-PBE | relaxed
data_ZnCrIn3
_symmetry_space_group_name_H-M 'P m -3 m'
_symmetry_Int_Tables_number 221
_symmetry_space_group_name_Hall '-P 4 2 3'
_cell_length_a 5.231
_cell_length_b 5.231
_cell_length_c 5.231
_cell_angle_alpha 90.00
_cell_angle_beta 90.00
_cell_angle_gamma 90.00
loop_
_atom_site_label
_atom_site_type_symbol
_atom_site_fract_x
_atom_site_fract_y
_atom_site_fract_z
_atom_site_occupancy
Zn1 Zn 0.000 0.000 0.000 1
Cr1 Cr 0.500 0.500 0.500 1
In1 In 0.000 0.500 0.500 1
# * magnetic moment: 2.92 μB per formula unit

***

Most stable structure: *Q*

***

*P*
# ZrCrIn2 | Alexandria | GGA-PBE | relaxed
data_ZrCrIn2
_symmetry_space_group_name_H-M 'I m m 2'
_symmetry_Int_Tables_number 44
_cell_length_a 4.074
_cell_length_b 4.385
_cell_length_c 9.297
_cell_angle_alpha 90.00
_cell_angle_beta 90.00
_cell_angle_gamma 90.00
loop_
_symmetry_equiv_pos_as_xyz
'x,y,z'
'-x,-y,z'
'-x,y,z'
'x,-y,z'
'x+1/2,y+1/2,z+1/2'
'-x+1/2,-y+1/2,z+1/2'
'-x+1/2,y+1/2,z+1/2'
'x+1/2,-y+1/2,z+1/2'
loop_
_atom_site_label
_atom_site_type_symbol
_atom_site_fract_x
_atom_site_fract_y
_atom_site_fract_z
_atom_site_occupancy
Zr1 Zr 0.000 0.000 0.000 1
Cr1 Cr 0.000 0.500 0.742 1
In1 In 0.000 0.000 0.495 1
In2 In 0.000 0.500 0.246 1
# * magnetic moment: 2.63 μB per formula unit

***

*Q*
# ZrCrIn2 | Alexandria | GGA-PBE | relaxed
data_ZrCrIn2
_symmetry_space_group_name_H-M 'P m m m'
_symmetry_Int_Tables_number 47
_cell_length_a 3.207
_cell_length_b 3.219
_cell_length_c 7.957
_cell_angle_alpha 90.00
_cell_angle_beta 90.00
_cell_angle_gamma 90.00
loop_
_symmetry_equiv_pos_as_xyz
'x,y,z'
'-x,-y,-z'
'-x,-y,z'
'x,y,-z'
'x,-y,-z'
'-x,y,z'
'-x,y,-z'
'x,-y,z'
loop_
_atom_site_label
_atom_site_type_symbol
_atom_site_fract_x
_atom_site_fract_y
_atom_site_fract_z
_atom_site_occupancy
Zr1 Zr 0.000 0.000 0.000 1
Cr1 Cr 0.000 0.000 0.500 1
In1 In 0.500 0.500 0.269 1
# * magnetic moment: 3.69 μB per formula unit

***

Most stable structure: *Q*

***

*P*
# ZrCrIn2 | Alexandria | GGA-PBE | relaxed
data_ZrCrIn2
_symmetry_space_group_name_H-M 'P 4/m m m'
_symmetry_Int_Tables_number 123
_symmetry_space_group_name_Hall '-P 4 2'
_cell_length_a 4.379
_cell_length_b 4.379
_cell_length_c 4.304
_cell_angle_alpha 90.00
_cell_angle_beta 90.00
_cell_angle_gamma 90.00
loop_
_atom_site_label
_atom_site_type_symbol
_atom_site_fract_x
_atom_site_fract_y
_atom_site_fract_z
_atom_site_occupancy
Zr1 Zr 0.000 0.000 0.000 1
Cr1 Cr 0.500 0.500 0.000 1
In1 In 0.000 0.500 0.500 1
# * magnetic moment: 3.65 μB per formula unit

***

*Q*
# ZrCrIn2 | Alexandria | GGA-PBE | relaxed
data_ZrCrIn2
_symmetry_space_group_name_H-M 'I -4 2 d'
_symmetry_Int_Tables_number 122
_symmetry_space_group_name_Hall 'I -4 2bw'
_cell_length_a 6.273
_cell_length_b 6.273
_cell_length_c 12.234
_cell_angle_alpha 90.00
_cell_angle_beta 90.00
_cell_angle_gamma 90.00
loop_
_atom_site_label
_atom_site_type_symbol
_atom_site_fract_x
_atom_site_fract_y
_atom_site_fract_z
_atom_site_occupancy
Zr1 Zr 0.000 0.000 0.000 1
Cr1 Cr 0.000 0.000 0.500 1
In1 In 0.199 0.250 0.625 1
# * magnetic moment: 0.00 μB per formula unit

***

*R*
# ZrCrIn2 | Alexandria | GGA-PBE | relaxed
data_ZrCrIn2
_symmetry_space_group_name_H-M 'F -4 3 m'
_symmetry_Int_Tables_number 216
_symmetry_space_group_name_Hall 'F -4 2 3'
_cell_length_a 6.941
_cell_length_b 6.941
_cell_length_c 6.941
_cell_angle_alpha 90.00
_cell_angle_beta 90.00
_cell_angle_gamma 90.00
loop_
_atom_site_label
_atom_site_type_symbol
_atom_site_fract_x
_atom_site_fract_y
_atom_site_fract_z
_atom_site_occupancy
Zr1 Zr 0.000 0.000 0.000 1
Cr1 Cr 0.250 0.250 0.750 1
In1 In 0.000 0.000 0.500 1
In2 In 0.250 0.250 0.250 1
# * magnetic moment: 3.20 μB per formula unit

***

Most stable structure: *P*

***

*P*
# Cr4Ir5 | Alexandria | GGA-PBE | relaxed
data_Cr4Ir5
_symmetry_space_group_name_H-M 'I 4/m m m'
_symmetry_Int_Tables_number 139
_symmetry_space_group_name_Hall '-I 4 2'
_cell_length_a 7.990
_cell_length_b 7.990
_cell_length_c 3.775
_cell_angle_alpha 90.00
_cell_angle_beta 90.00
_cell_angle_gamma 90.00
loop_
_atom_site_label
_atom_site_type_symbol
_atom_site_fract_x
_atom_site_fract_y
_atom_site_fract_z
_atom_site_occupancy
Cr1 Cr 0.000 0.338 0.000 1
Ir1 Ir 0.000 0.000 0.000 1
Ir2 Ir 0.169 0.169 0.500 1
# * magnetic moment: 0.00 μB per formula unit

***

*Q*
# Cr4Ir5 | Alexandria | GGA-PBE | relaxed
data_Cr4Ir5
_symmetry_space_group_name_H-M 'P 63/m c m'
_symmetry_Int_Tables_number 193
_symmetry_space_group_name_Hall '-P 6c 2'
_cell_length_a 7.3018
_cell_length_b 7.3018
_cell_length_c 5.3196
_cell_angle_alpha 90.00
_cell_angle_beta 90.00
_cell_angle_gamma 120.00
loop_
_atom_site_label
_atom_site_type_symbol
_atom_site_fract_x
_atom_site_fract_y
_atom_site_fract_z
_atom_site_occupancy
Cr1 Cr 0.0000 0.0000 0.0000 1
Cr2 Cr 0.0000 0.3318 0.2500 1
Ir1 Ir 0.0000 0.3266 0.7500 1
Ir2 Ir 0.3333 0.6667 0.0000 1
# * magnetic moment: 1.49 μB per formula unit

***

Most stable structure: *P*